1.
VASP calculation (GGA-PBE) on a geometry-optimized DyYAsO structure.

Calculated values
calculated total energy = -56.302 eV/cell
symmetry = P4/nmm (129)

Structure (CIF):
```
data_DyYAsO
_chemical_formula_sum 'Dy2 Y2 As2 O2'
_cell_length_a 4.336
_cell_length_b 4.336
_cell_length_c 8.794
_cell_angle_alpha 90.00
_cell_angle_beta 90.00
_cell_angle_gamma 90.00
_space_group_name_H-M_alt 'P 1'
_space_group_IT_number 1
loop_
_space_group_symop_operation_xyz
'x,y,z'
loop_
_atom_site_label
_atom_site_type_symbol
_atom_site_fract_x
_atom_site_fract_y
_atom_site_fract_z
Dy1 Dy 0.250 0.750 0.000
Dy2 Dy 0.750 0.250 0.000
Y1 Y 0.250 0.250 0.399
Y2 Y 0.750 0.750 0.601
As1 As 0.250 0.250 0.794
As2 As 0.750 0.750 0.206
O1 O 0.250 0.750 0.500
O2 O 0.750 0.250 0.500
```

***

2.
VASP calculation (GGA-PBE) on a geometry-optimized DyInI6 structure.

Calculated values
calculated total energy = -24.056 eV/cell
symmetry = C2 (5)

Structure (CIF):
```
data_DyInI6
_chemical_formula_sum 'Dy1 In1 I6'
_cell_length_a 7.602
_cell_length_b 7.602
_cell_length_c 7.709
_cell_angle_alpha 99.19
_cell_angle_beta 99.19
_cell_angle_gamma 120.07
_space_group_name_H-M_alt 'P 1'
_space_group_IT_number 1
loop_
_space_group_symop_operation_xyz
'x,y,z'
loop_
_atom_site_label
_atom_site_type_symbol
_atom_site_fract_x
_atom_site_fract_y
_atom_site_fract_z
Dy1 Dy 0.000 0.000 0.000
In1 In 0.668 0.332 0.000
I1 I 0.051 0.391 0.241
I2 I 0.265 0.239 0.763
I3 I 0.417 0.100 0.236
I4 I 0.609 0.949 0.759
I5 I 0.761 0.735 0.237
I6 I 0.900 0.583 0.764
```

***

3.
VASP calculation (GGA-PBE) on a geometry-optimized KCu structure.

Calculated values
calculated total energy = -8.441 eV/cell
symmetry = P6_3/mmc (194)

Structure (CIF):
```
data_KCu
_chemical_formula_sum 'K2 Cu2'
_cell_length_a 5.406
_cell_length_b 5.406
_cell_length_c 4.768
_cell_angle_alpha 90.00
_cell_angle_beta 90.00
_cell_angle_gamma 120.00
_space_group_name_H-M_alt 'P 1'
_space_group_IT_number 1
loop_
_space_group_symop_operation_xyz
'x,y,z'
loop_
_atom_site_label
_atom_site_type_symbol
_atom_site_fract_x
_atom_site_fract_y
_atom_site_fract_z
K1 K 0.333 0.667 0.250
K2 K 0.667 0.333 0.750
Cu1 Cu 0.000 0.000 0.000
Cu2 Cu 0.000 0.000 0.500
```

***

4.
VASP calculation (GGA-PBE) on a geometry-optimized Er2TmGa2 structure.

Calculated values
calculated total energy = -44.577 eV/cell
symmetry = P4/mbm (127)

Structure (CIF):
```
data_Er2TmGa2
_chemical_formula_sum 'Er4 Tm2 Ga4'
_cell_length_a 7.580
_cell_length_b 7.580
_cell_length_c 4.245
_cell_angle_alpha 90.00
_cell_angle_beta 90.00
_cell_angle_gamma 90.00
_space_group_name_H-M_alt 'P 1'
_space_group_IT_number 1
loop_
_space_group_symop_operation_xyz
'x,y,z'
loop_
_atom_site_label
_atom_site_type_symbol
_atom_site_fract_x
_atom_site_fract_y
_atom_site_fract_z
Er1 Er 0.175 0.325 0.000
Er2 Er 0.325 0.825 0.000
Er3 Er 0.675 0.175 0.000
Er4 Er 0.825 0.675 0.000
Tm1 Tm 0.000 0.000 0.500
Tm2 Tm 0.500 0.500 0.500
Ga1 Ga 0.121 0.621 0.500
Ga2 Ga 0.379 0.121 0.500
Ga3 Ga 0.621 0.879 0.500
Ga4 Ga 0.879 0.379 0.500
```

***

5.
VASP calculation (GGA-PBE) on a geometry-optimized PrPaOs structure.

Calculated values
calculated total energy = -25.090 eV/cell
formation enthalpy at 0 K = 0.135 eV/atom
symmetry = F-43m (216)

Structure (CIF):
```
data_PrPaOs
_chemical_formula_sum 'Pr1 Pa1 Os1'
_cell_length_a 4.853
_cell_length_b 4.853
_cell_length_c 4.853
_cell_angle_alpha 60.00
_cell_angle_beta 60.00
_cell_angle_gamma 60.00
_space_group_name_H-M_alt 'P 1'
_space_group_IT_number 1
loop_
_space_group_symop_operation_xyz
'x,y,z'
loop_
_atom_site_label
_atom_site_type_symbol
_atom_site_fract_x
_atom_site_fract_y
_atom_site_fract_z
Pr1 Pr 0.000 0.000 0.000
Pa1 Pa 0.500 0.500 0.500
Os1 Os 0.750 0.750 0.750
```

***

6.
VASP calculation (GGA-PBE) on a geometry-optimized KHg3Pd structure.

Calculated values
calculated total energy = -16.848 eV/cell
symmetry = R-3c (167)

Structure (CIF):
```
data_KHg3Pd
_chemical_formula_sum 'K2 Hg6 Pd2'
_cell_length_a 7.657
_cell_length_b 7.657
_cell_length_c 7.657
_cell_angle_alpha 59.42
_cell_angle_beta 59.42
_cell_angle_gamma 59.42
_space_group_name_H-M_alt 'P 1'
_space_group_IT_number 1
loop_
_space_group_symop_operation_xyz
'x,y,z'
loop_
_atom_site_label
_atom_site_type_symbol
_atom_site_fract_x
_atom_site_fract_y
_atom_site_fract_z
K1 K 0.250 0.250 0.250
K2 K 0.750 0.750 0.750
Hg1 Hg 0.249 0.750 0.251
Hg2 Hg 0.250 0.749 0.751
Hg3 Hg 0.251 0.249 0.750
Hg4 Hg 0.749 0.751 0.250
Hg5 Hg 0.750 0.251 0.249
Hg6 Hg 0.751 0.250 0.749
Pd1 Pd 0.000 0.000 0.000
Pd2 Pd 0.500 0.500 0.500
```